1.
# La3Tb2PmSm6, optimized geometry, DFT PBE
# - energy of formation (meV/atom) = 18
# - crystal system = monoclinic
# - mass density (Mg/m³) = 7.2
# - electronic total energy (eV per atom) = -4.741
# - magnetization (μB/cell) = 0.00
data_La3Tb2PmSm6
_cell_length_a 6.323
_cell_length_b 10.959
_cell_length_c 12.108
_cell_angle_alpha 90.00
_cell_angle_beta 100.09
_cell_angle_gamma 90.00
_space_group_name_H-M_alt 'C 1 2/m 1'
_space_group_IT_number 12
loop_
_space_group_symop_operation_xyz
'x,y,z'
'-x,-y,-z'
'-x,y,-z'
'x,-y,z'
'x+1/2,y+1/2,z'
'-x+1/2,-y+1/2,-z'
'-x+1/2,y+1/2,-z'
'x+1/2,-y+1/2,z'
loop_
_atom_site_label
_atom_site_fract_x
_atom_site_fract_y
_atom_site_fract_z
La1 0.000 0.000 0.000
La2 0.000 0.333 0.000
Tb1 0.000 0.167 0.500
Pm1 0.000 0.500 0.500
Sm1 0.248 0.000 0.746
Sm2 0.249 0.333 0.746


2.
# La3Pm2SmTe6, optimized geometry, DFT PBE
# - crystal system = monoclinic
# - uncorrected formation energy (meV/atom) = -1502
# - mass density (Mg/m³) = 6.9
# - electronic total energy (eV per atom) = -5.489
# - magnetization (μB/cell) = 0.00
data_La3Pm2SmTe6
_cell_length_a 19.665
_cell_length_b 4.513
_cell_length_c 9.061
_cell_angle_alpha 90.00
_cell_angle_beta 103.04
_cell_angle_gamma 90.00
_space_group_name_H-M_alt 'C 1 2/m 1'
_space_group_IT_number 12
loop_
_space_group_symop_operation_xyz
'x,y,z'
'-x,-y,-z'
'-x,y,-z'
'x,-y,z'
'x+1/2,y+1/2,z'
'-x+1/2,-y+1/2,-z'
'-x+1/2,y+1/2,-z'
'x+1/2,-y+1/2,z'
loop_
_atom_site_label
_atom_site_fract_x
_atom_site_fract_y
_atom_site_fract_z
La1 0.000 0.000 0.000
La2 0.167 0.500 0.333
Pm1 0.167 0.500 0.833
Sm1 0.000 0.000 0.500
Te1 0.001 0.500 0.745
Te2 0.164 0.000 0.587
Te3 0.168 0.000 0.079


3.
# La3Pm4SmTe8, optimized geometry, DFT PBE
# - crystal system = trigonal
# - uncorrected formation energy (meV/atom) = -1473
# - mass density (Mg/m³) = 6.9
# - electronic total energy (eV per atom) = -5.450
# - magnetization (μB/cell) = 0.00
data_La3Pm4SmTe8
_cell_length_a 9.0351
_cell_length_b 9.0351
_cell_length_c 22.0083
_cell_angle_alpha 90.00
_cell_angle_beta 90.00
_cell_angle_gamma 120.00
_space_group_name_H-M_alt 'R -3 m'
_space_group_IT_number 166
_space_group_name_Hall '-R 3 2"'
loop_
_atom_site_label
_atom_site_fract_x
_atom_site_fract_y
_atom_site_fract_z
La1 0.0000 0.5000 0.0000
Pm1 0.0000 0.0000 0.5000
Pm2 0.0000 0.5000 0.5000
Sm1 0.0000 0.0000 0.0000
Te1 0.0000 0.0000 0.2475
Te2 0.0041 0.5020 0.7514


4.
# La2Pm3SmTe6, optimized geometry, DFT PBE
# - crystal system = monoclinic
# - uncorrected formation energy (meV/atom) = -1468
# - mass density (Mg/m³) = 7.0
# - electronic total energy (eV per atom) = -5.441
# - magnetization (μB/cell) = 0.00
data_La2Pm3SmTe6
_cell_length_a 19.591
_cell_length_b 4.490
_cell_length_c 9.033
_cell_angle_alpha 90.00
_cell_angle_beta 103.14
_cell_angle_gamma 90.00
_space_group_name_H-M_alt 'C 1 2/m 1'
_space_group_IT_number 12
loop_
_space_group_symop_operation_xyz
'x,y,z'
'-x,-y,-z'
'-x,y,-z'
'x,-y,z'
'x+1/2,y+1/2,z'
'-x+1/2,-y+1/2,-z'
'-x+1/2,y+1/2,-z'
'x+1/2,-y+1/2,z'
loop_
_atom_site_label
_atom_site_fract_x
_atom_site_fract_y
_atom_site_fract_z
La1 0.166 0.000 0.332
Pm1 0.000 0.500 0.500
Pm2 0.168 0.000 0.835
Sm1 0.000 0.500 0.000
Te1 0.003 0.000 0.753
Te2 0.165 0.500 0.078
Te3 0.165 0.500 0.587


- Among the records above, which one has the highest electronic total energy?
  La3Tb2PmSm6


- Number 4 is which compound?
  La2Pm3SmTe6


- What is the electronic total energy in the third record?
  -5.450 eV per atom


- Which formula does entry 3 have?
  La3Pm4SmTe8